! Ac3YSb4 | Alexandria | PBE | optimized geometry; values from VASP
&SYSTEM
  ibrav = 0, nat = 16, ntyp = 3
/
ATOMIC_SPECIES
Ac 227.00 Ac.upf
Y 88.91 Y.upf
Sb 121.76 Sb.upf
ATOMIC_POSITIONS crystal
Ac 0.000 0.124 0.250
Ac 0.000 0.372 0.750
Ac 0.000 0.628 0.250
Ac 0.000 0.876 0.750
Ac 0.500 0.373 0.250
Ac 0.500 0.627 0.750
Y 0.500 0.123 0.750
Y 0.500 0.877 0.250
Sb 0.257 0.367 0.508
Sb 0.257 0.633 0.008
Sb 0.266 0.116 0.999
Sb 0.266 0.884 0.499
Sb 0.734 0.116 0.501
Sb 0.734 0.884 0.001
Sb 0.743 0.367 0.992
Sb 0.743 0.633 0.492
CELL_PARAMETERS angstrom
8.146 0.000 0.000
0.000 9.422 0.000
-2.722 0.000 7.682
! - Size of the total moment: 0.000 μB/atom
! - V: 589.6 Å³ per cell
! - Formation energy from raw total energies: -1.176 eV/atom